(1)
A relaxed structure of TlFe2Ag2, computed with GGA-PBE.

Unit cell a=3.911 b=3.911 c=6.659 alpha=72.92 beta=72.92 gamma=90.00
Fractional positions:
Fe (0.591, 0.591, 0.818)
Tl (0.000, 0.000, 0.000)
Fe (0.409, 0.409, 0.182)
Ag (0.250, 0.750, 0.500)
Ag (0.750, 0.250, 0.500)

Properties
crystal system: tetragonal
DFT formation energy: 585 meV per atom
space group: I4/mmm
DOS at the Fermi energy: 3.64 states/eV per cell
E_tot: -4.41 eV/atom
polymorph energy (0 for the lowest one): 0.0999 eV/atom

=====

(2)
A relaxed structure of Th6OsS5, computed with GGA-PBE.

Unit cell a=7.070 b=7.070 c=7.084 alpha=99.66 beta=99.66 gamma=119.82
Fractional positions:
S (0.831, 0.169, 0.500)
Th (0.083, 0.410, 0.246)
S (0.334, 0.666, 0.000)
S (0.500, 0.500, 0.500)
Th (0.590, 0.917, 0.754)
Os (0.000, 0.000, 0.000)
Th (0.753, 0.753, 0.250)
S (0.666, 0.334, 0.000)
Th (0.247, 0.247, 0.750)
S (0.169, 0.831, 0.500)
Th (0.410, 0.083, 0.246)
Th (0.917, 0.590, 0.754)

Properties
crystal system: monoclinic
space group: C2/m
DOS at the Fermi energy: 9.51 states/eV per cell
E_form (uncorrected): -1585 meV/atom
E_tot: -7.95 eV/atom

=====

(3)
A relaxed structure of UTa2Ga, computed with GGA-PBE.

Unit cell a=2.923 b=2.923 c=10.306 alpha=81.85 beta=81.85 gamma=60.00
Fractional positions:
Ga (0.500, 0.500, 0.500)
Ta (0.758, 0.758, 0.727)
U (0.000, 0.000, 0.000)
Ta (0.242, 0.242, 0.273)

Properties
crystal system: trigonal
DFT formation energy: 183 meV per atom
space group: R-3m
DOS at the Fermi energy: 5.91 states/eV per cell
E_tot: -9.32 eV/atom

=====

(4)
A relaxed structure of Tc5Ru, computed with GGA-PBE.

Unit cell a=5.103 b=5.443 c=7.948 alpha=109.95 beta=79.49 gamma=122.24
Fractional positions:
Tc (0.750, 0.084, 0.917)
Tc (0.250, 0.084, 0.417)
Tc (0.750, 0.500, 0.250)
Tc (0.750, 0.417, 0.583)
Tc (0.750, 0.916, 0.583)
Tc (0.250, 0.500, 0.750)
Ru (0.750, 0.000, 0.250)
Tc (0.750, 0.583, 0.917)
Tc (0.250, 0.417, 0.083)
Tc (0.250, 0.583, 0.417)
Ru (0.250, 0.000, 0.750)
Tc (0.250, 0.916, 0.083)

Properties
crystal system: orthorhombic
DFT formation energy: 61 meV per atom
space group: Immm
DOS at the Fermi energy: 5.14 states/eV per cell
E_tot: -10.12 eV/atom
polymorph energy (0 for the lowest one): 0.0840 eV/atom

=====

(5)
A relaxed structure of Nb3CuRh, computed with GGA-PBE.

Unit cell a=4.802 b=4.802 c=4.802 alpha=90.00 beta=90.00 gamma=90.00
Fractional positions:
Rh (0.000, 0.000, 0.000)
Nb (0.000, 0.500, 0.000)
Nb (0.500, 0.000, 0.000)
Nb (0.000, 0.000, 0.500)
Cu (0.500, 0.500, 0.500)

Properties
crystal system: cubic
DFT formation energy: 1191 meV per atom
space group: Pm-3m
DOS at the Fermi energy: 4.00 states/eV per cell
E_tot: -7.14 eV/atom
polymorph energy (0 for the lowest one): 0.0171 eV/atom

=====

(6)
A relaxed structure of MgMoW3, computed with GGA-PBE.

Unit cell a=4.504 b=4.504 c=4.504 alpha=90.00 beta=90.00 gamma=90.00
Fractional positions:
Mo (0.500, 0.500, 0.500)
Mg (0.000, 0.000, 0.000)
W (0.000, 0.500, 0.000)
W (0.500, 0.000, 0.000)
W (0.000, 0.000, 0.500)

Properties
crystal system: cubic
DFT formation energy: 2499 meV per atom
space group: Pm-3m
DOS at the Fermi energy: 5.65 states/eV per cell
E_tot: -7.76 eV/atom
polymorph energy (0 for the lowest one): 0.5782 eV/atom

=====

(7)
A relaxed structure of PrYTm, computed with GGA-PBE.

Unit cell a=3.597 b=3.597 c=8.036 alpha=102.93 beta=102.93 gamma=90.00
Fractional positions:
Y (0.003, 0.003, 0.006)
Pr (0.332, 0.332, 0.664)
Tm (0.665, 0.665, 0.331)

Properties
crystal system: tetragonal
DFT formation energy: 28 meV per atom
space group: I4mm
DOS at the Fermi energy: 4.48 states/eV per cell
E_tot: -5.21 eV/atom
polymorph energy (0 for the lowest one): 0.0061 eV/atom

=====

(8)
A relaxed structure of Ba4SrIn2, computed with GGA-PBE.

Unit cell a=6.123 b=6.123 c=10.486 alpha=73.02 beta=73.02 gamma=60.00
Fractional positions:
In (0.263, 0.263, 0.212)
Ba (0.135, 0.135, 0.595)
Sr (0.000, 0.000, 0.000)
In (0.737, 0.737, 0.788)
Ba (0.865, 0.865, 0.405)
Ba (0.606, 0.606, 0.181)
Ba (0.394, 0.394, 0.819)

Properties
crystal system: trigonal
DFT formation energy: -231 meV per atom
space group: R-3m
DOS at the Fermi energy: 9.24 states/eV per cell
E_tot: -2.35 eV/atom

=====

(9)
A relaxed structure of NaSc2Te, computed with GGA-PBE.

Unit cell a=8.359 b=8.359 c=6.722 alpha=51.56 beta=51.56 gamma=90.00
Fractional positions:
Sc (0.875, 0.910, 0.750)
Sc (0.090, 0.625, 0.250)
Te (0.750, 0.250, 0.500)
Sc (0.375, 0.340, 0.750)
Na (0.500, 0.500, 0.000)
Na (0.250, 0.750, 0.500)
Te (0.000, 0.000, 0.000)
Sc (0.660, 0.125, 0.250)

Properties
crystal system: tetragonal
space group: I-42d
DOS at the Fermi energy: 7.58 states/eV per cell
E_form (uncorrected): -54 meV/atom
E_tot: -4.33 eV/atom

=====

(10)
A relaxed structure of NdTm2Pb, computed with GGA-PBE.

Unit cell a=4.331 b=6.674 c=9.254 alpha=90.00 beta=90.00 gamma=108.93
Fractional positions:
Tm (0.367, 0.734, 0.947)
Tm (0.633, 0.266, 0.447)
Pb (0.243, 0.487, 0.250)
Tm (0.367, 0.734, 0.553)
Nd (0.056, 0.111, 0.750)
Nd (0.944, 0.889, 0.250)
Pb (0.757, 0.513, 0.750)
Tm (0.633, 0.266, 0.053)

Properties
crystal system: orthorhombic
DFT formation energy: -239 meV per atom
space group: Cmcm
DOS at the Fermi energy: 11.08 states/eV per cell
E_tot: -4.59 eV/atom
polymorph energy (0 for the lowest one): 0.0723 eV/atom

=====

(11)
A relaxed structure of TeAuSeS, computed with GGA-PBE.

Unit cell a=3.941 b=4.712 c=6.950 alpha=101.93 beta=90.00 gamma=114.72
Fractional positions:
Se (0.160, 0.321, 0.189)
Te (0.033, 0.067, 0.490)
Au (0.711, 0.422, 0.965)
S (0.261, 0.523, 0.773)

Properties
crystal system: monoclinic
space group: Cm
DOS at the Fermi energy: 1.32 states/eV per cell
E_form (uncorrected): 53 meV/atom
E_tot: -3.45 eV/atom

=====

(12)
A relaxed structure of KRb2BaCl, computed with GGA-PBE.

Unit cell a=6.817 b=6.817 c=6.524 alpha=90.00 beta=90.00 gamma=90.00
Fractional positions:
Rb (0.000, 0.500, 0.000)
Cl (0.000, 0.000, 0.000)
K (0.000, 0.000, 0.500)
Rb (0.500, 0.000, 0.000)
Ba (0.500, 0.500, 0.500)

Properties
crystal system: tetragonal
space group: P4/mmm
DOS at the Fermi energy: 4.96 states/eV per cell
E_form (uncorrected): -568 meV/atom
E_tot: -1.93 eV/atom
polymorph energy (0 for the lowest one): 0.0859 eV/atom

=====

(13)
A relaxed structure of Cu3AsO2F6, computed with GGA-PBE.

Unit cell a=5.391 b=6.163 c=7.996 alpha=112.67 beta=128.97 gamma=90.00
Fractional positions:
F (0.805, 0.303, 0.199)
F (0.628, 0.915, 0.831)
F (0.195, 0.104, 0.801)
F (0.195, 0.697, 0.801)
Cu (0.000, 0.500, 0.000)
O (0.360, 0.663, 0.327)
O (0.640, 0.337, 0.673)
F (0.372, 0.085, 0.169)
Cu (0.500, 0.000, 0.500)
Cu (0.500, 0.500, 0.500)
As (0.500, 0.000, 0.000)
F (0.805, 0.896, 0.199)

Properties
crystal system: monoclinic
space group: C2/m
DOS at the Fermi energy: 5.79 states/eV per cell
E_form (uncorrected): -1414 meV/atom
E_tot: -4.59 eV/atom

=====

(14)
A relaxed structure of BeBPb, computed with GGA-PBE.

Unit cell a=3.536 b=3.614 c=9.082 alpha=96.61 beta=90.77 gamma=118.70
Fractional positions:
B (0.254, 0.008, 0.522)
B (0.746, 0.992, 0.478)
Pb (0.679, 0.889, 0.177)
Be (0.764, 0.523, 0.559)
Pb (0.321, 0.111, 0.823)
Be (0.236, 0.477, 0.441)

Properties
crystal system: triclinic
DFT formation energy: 218 meV per atom
space group: P-1
DOS at the Fermi energy: 2.04 states/eV per cell
E_tot: -4.49 eV/atom
polymorph energy (0 for the lowest one): 0.0599 eV/atom

=====

(15)
A relaxed structure of Ba2Na3Tl, computed with GGA-PBE.

Unit cell a=4.312 b=5.850 c=10.164 alpha=90.00 beta=90.00 gamma=90.00
Fractional positions:
Na (0.500, 0.000, 0.167)
Na (0.500, 0.000, 0.832)
Ba (0.000, 0.500, 0.045)
Na (0.500, 0.500, 0.658)
Tl (0.500, 0.500, 0.334)
Ba (0.000, 0.000, 0.464)

Properties
crystal system: orthorhombic
DFT formation energy: -103 meV per atom
space group: Pmm2
DOS at the Fermi energy: 4.01 states/eV per cell
E_tot: -1.80 eV/atom

=====

(16)
A relaxed structure of MgAsHRu, computed with GGA-PBE.

Unit cell a=4.050 b=4.050 c=6.836 alpha=90.00 beta=90.00 gamma=90.00
Fractional positions:
As (0.500, 0.000, 0.700)
Ru (0.000, 0.000, 0.500)
As (0.000, 0.500, 0.300)
Mg (0.000, 0.500, 0.869)
Mg (0.500, 0.000, 0.131)
H (0.500, 0.500, 0.000)
H (0.000, 0.000, 0.000)
Ru (0.500, 0.500, 0.500)

Properties
crystal system: tetragonal
space group: P4/nmm
DOS at the Fermi energy: 1.90 states/eV per cell
E_tot: -4.95 eV/atom

=====

(17)
A relaxed structure of Y8Er3Sc3, computed with GGA-PBE.

Unit cell a=5.526 b=9.465 c=9.465 alpha=102.60 beta=73.03 gamma=73.03
Fractional positions:
Y (0.658, 0.562, 0.122)
Er (0.000, 0.176, 0.824)
Er (0.000, 0.824, 0.176)
Y (0.342, 0.878, 0.438)
Sc (0.205, 0.795, 0.795)
Y (0.161, 0.237, 0.441)
Sc (0.795, 0.205, 0.205)
Er (0.500, 0.000, 0.000)
Sc (0.500, 0.500, 0.500)
Y (0.658, 0.122, 0.562)
Y (0.839, 0.559, 0.763)
Y (0.161, 0.441, 0.237)
Y (0.342, 0.438, 0.878)
Y (0.839, 0.763, 0.559)

Properties
crystal system: orthorhombic
DFT formation energy: 139 meV per atom
space group: Immm
DOS at the Fermi energy: 24.28 states/eV per cell
E_tot: -5.89 eV/atom

=====

(18)
A relaxed structure of CeY3Se6, computed with GGA-PBE.

Unit cell a=4.146 b=11.642 c=11.919 alpha=109.02 beta=90.00 gamma=90.00
Fractional positions:
Y (0.250, 0.563, 0.166)
Se (0.750, 0.916, 0.096)
Se (0.750, 0.394, 0.060)
Y (0.250, 0.319, 0.500)
Y (0.250, 0.841, 0.915)
Se (0.750, 0.740, 0.273)
Ce (0.750, 0.047, 0.694)
Se (0.250, 0.084, 0.904)
Se (0.250, 0.606, 0.940)
Se (0.250, 0.519, 0.385)
Se (0.750, 0.805, 0.749)
Se (0.250, 0.195, 0.251)
Se (0.250, 0.260, 0.727)
Ce (0.250, 0.953, 0.306)
Y (0.750, 0.437, 0.834)
Se (0.750, 0.481, 0.615)
Se (0.750, 0.116, 0.464)
Se (0.250, 0.884, 0.536)
Y (0.750, 0.159, 0.085)
Y (0.750, 0.681, 0.500)

Properties
crystal system: monoclinic
space group: P2_1/m
DOS at the Fermi energy: 13.67 states/eV per cell
E_form (uncorrected): -1877 meV/atom
E_tot: -6.50 eV/atom

=====

(19)
A relaxed structure of SmDyTe2O8, computed with GGA-PBE.

Unit cell a=6.290 b=6.290 c=6.290 alpha=107.46 beta=107.46 gamma=113.57
Fractional positions:
Dy (0.000, 0.000, 0.000)
O (0.882, 0.700, 0.182)
Te (0.500, 0.500, 0.000)
O (0.950, 0.638, 0.688)
O (0.950, 0.262, 0.312)
Sm (0.250, 0.750, 0.500)
O (0.362, 0.050, 0.312)
O (0.300, 0.482, 0.182)
O (0.738, 0.050, 0.688)
O (0.300, 0.118, 0.818)
O (0.518, 0.700, 0.818)
Te (0.750, 0.250, 0.500)

Properties
crystal system: tetragonal
space group: I-4m2
DOS at the Fermi energy: 1.96 states/eV per cell
E_form (uncorrected): -1938 meV/atom
E_tot: -6.54 eV/atom

=====

(20)
A relaxed structure of GaAgPb, computed with GGA-PBE.

Unit cell a=3.405 b=3.405 c=6.353 alpha=105.54 beta=105.54 gamma=90.00
Fractional positions:
Pb (0.001, 0.001, 0.003)
Ag (0.688, 0.688, 0.375)
Ga (0.311, 0.311, 0.622)

Properties
crystal system: tetragonal
DFT formation energy: 83 meV per atom
space group: I4mm
DOS at the Fermi energy: 1.44 states/eV per cell
E_tot: -3.11 eV/atom